Entry from OQMD: MgOs after structural relaxation (PBE).

Values from the calculation:
Uncorrected energy: -6.284 eV/atom
Spin magnetization: 0.01 μB/cell

abc: 4.272 6.846 4.271
angles: 90.00 90.00 90.00
Fractional coordinates of all 8 atoms:
Os  0.417  0.738  0.000
Os  0.917  0.512  0.000
Os  0.917  0.738  0.500
Os  0.417  0.512  0.500
Mg  0.916  0.270  0.500
Mg  0.417  0.270  0.000
Mg  0.917  0.980  0.000
Mg  0.416  0.980  0.500